No. 1
Below is an optimized crystal structure of CsLiTe2, with properties calculated at the PBE level.

Unit cell a=6.681 b=9.207 c=9.207 alpha=37.85 beta=97.98 gamma=82.02
Sites, in units of the cell vectors:
Te (0.173, 0.665, 0.627)
Te (0.673, 0.873, 0.835)
Cs (0.250, 0.680, 0.180)
Li (0.250, 0.024, 0.524)
Te (0.827, 0.335, 0.373)
Cs (0.750, 0.320, 0.820)
Li (0.750, 0.976, 0.476)
Te (0.327, 0.127, 0.165)

Values from the calculation:
Its energy above the lowest structure with this stoichiometry is 27 meV/atom. Its calculated density is 4.178 Mg/m³. The calculation puts the total magnetization at 0.0 μB per cell. The formation energy from raw total energies comes out at -3.2 eV/f.u. The calculation puts the calculated total energy at -24.5 eV for the cell shown.

***

No. 2
Below is an optimized crystal structure of Ac2RuPb, with properties calculated at the PBE level.

Unit cell a=4.168 b=4.168 c=10.700 alpha=78.77 beta=78.77 gamma=60.00
Sites, in units of the cell vectors:
Pb (0.000, 0.000, 0.000)
Ac (0.114, 0.114, 0.657)
Ru (0.500, 0.500, 0.500)
Ac (0.886, 0.886, 0.343)

Values from the calculation:
Its calculated density is 8.069 Mg/m³. The calculation puts the total magnetization at 0.0 μB per cell. The calculation puts the calculated total energy at -21.1 eV for the cell shown.

***

No. 3
Below is an optimized crystal structure of Si2TcSe, with properties calculated at the PBE level.

Unit cell a=5.685 b=5.685 c=6.740 alpha=65.06 beta=65.06 gamma=90.00
Sites, in units of the cell vectors:
Tc (0.750, 0.250, 0.500)
Si (0.875, 0.905, 0.750)
Si (0.375, 0.345, 0.750)
Si (0.095, 0.625, 0.250)
Si (0.655, 0.125, 0.250)
Se (0.500, 0.500, 0.000)
Tc (0.000, 0.000, 0.000)
Se (0.250, 0.750, 0.500)

Values from the calculation:
Its calculated density is 4.428 Mg/m³. The calculation puts the total magnetization at 0.0 μB per cell. The formation energy from raw total energies comes out at 1.4 eV/f.u. The calculation puts the calculated total energy at -46.6 eV for the cell shown.